TmPaBi2O8 after structural relaxation, computed with GGA-PBE.

a = 7.222 Å, b = 7.222 Å, c = 7.385 Å
α = 90.00°, β = 90.00°, γ = 90.00°
Space group I-4m2 (No. 119)
Unique sites:
Tm 0.000 0.000 0.000 (multiplicity 2)
Pa 0.000 0.500 0.250 (multiplicity 2)
Bi 0.000 0.000 0.500 (multiplicity 2)
Bi 0.000 0.500 0.750 (multiplicity 2)
O 0.000 0.200 0.274 (multiplicity 8)
O 0.000 0.311 0.960 (multiplicity 8)

Calculated values
**Crystal system**: tetragonal
**Formation energy without anion corrections**: -2.1412 eV/atom